Record 1
Computed, not measured: crystalline Er3Au2 at its relaxed geometry at the GGA-PBE level of DFT.

Computed properties:
Its space group is P4/mbm (127). For the excess energy over the best structure of this formula in the dataset, the calculation gives 0.000 eV/atom. For the spin magnetization, the calculation gives 0.000 μB/atom.

abc: 8.1065 8.1065 3.7612
angles: 90.00 90.00 90.00
Atoms (fractional coordinates):
Er  0.0000  0.0000  0.0000
Er  0.1617  0.3383  0.5000
Er  0.3383  0.8383  0.5000
Er  0.5000  0.5000  0.0000
Er  0.6617  0.1617  0.5000
Er  0.8383  0.6617  0.5000
Au  0.1347  0.6347  0.0000
Au  0.3653  0.1347  0.0000
Au  0.6347  0.8653  0.0000
Au  0.8653  0.3653  0.0000



Record 2
Computed, not measured: crystalline CuPdAu at its relaxed geometry at the GGA-PBE level of DFT.

Computed properties:
Its space group is P3m1 (156). For the excess energy over the best structure of this formula in the dataset, the calculation gives 0.048 eV/atom. For the spin magnetization, the calculation gives 0.000 μB/atom.

abc: 4.4017 4.4017 2.7487
angles: 90.00 90.00 120.00
Atoms (fractional coordinates):
Cu  0.0000  0.0000  0.0000
Pd  0.3333  0.6667  0.2625
Au  0.6667  0.3333  0.7092



Record 3
Computed, not measured: crystalline InSnAu2 at its relaxed geometry at the GGA-PBE level of DFT.

Computed properties:
Its space group is R-3m (166). For the spin magnetization, the calculation gives 0.000 μB/atom. The electronic total energy comes out at -13.88 eV per cell.

abc: 6.4747 6.4747 6.4747
angles: 38.36 38.36 38.36
Atoms (fractional coordinates):
In  0.0000  0.0000  0.0000
Sn  0.5000  0.5000  0.5000
Au  0.2499  0.2499  0.2499
Au  0.7501  0.7501  0.7501